A plane-wave DFT calculation with PBE with a Hubbard U was carried out for a geometry-optimized Er2HgWO8 structure.

Computed properties:
Total DFT energy (no corrections) ... -163.3 eV per cell
Total magnetization ... 0.0 μB/cell

a = 7.253 Å, b = 6.797 Å, c = 6.947 Å
α = 90.00°, β = 94.86°, γ = 90.00°
Space group C2/m (No. 12)
Inequivalent atoms, fractional coordinates:
Er1 0.015 0.000 0.246 (multiplicity 4)
Hg1 0.000 0.500 0.500 (multiplicity 2)
W1 0.000 0.500 0.000 (multiplicity 2)
O1 0.000 0.198 0.500 (multiplicity 4)
O2 0.000 0.214 0.000 (multiplicity 4)
O3 0.160 0.500 0.770 (multiplicity 4)
O4 0.212 0.500 0.176 (multiplicity 4)